Entry 1:
Below is a relaxed structure of ScBRu2C, with properties calculated at the GGA-PBE level.

Computed properties:
For the calculated formation energy, the calculation gives -0.302 eV/atom. For the spin magnetization, the calculation gives 0.0 Bohr magnetons per cell. The calculation puts the uncorrected energy at -0.622 Ry/atom.

POSCAR file:
```
ScBRu2C
1.0
3.377 0.000 0.000
-1.688 5.490 0.000
0.000 0.000 6.785
Ru B Sc C
4 2 2 2
Cartesian
1.688 3.654 0.406
0.000 1.836 3.799
1.688 3.654 2.986
0.000 1.836 6.379
0.000 2.949 1.696
1.688 2.541 5.089
1.688 0.527 1.696
0.000 4.963 5.089
0.000 0.000 0.000
0.000 0.000 3.392
```

Entry 2:
Below is a relaxed structure of CrCo2Au, with properties calculated at the GGA-PBE level.

Computed properties:
The polymorph energy (0 for the lowest one) comes out at 333 meV per atom. For the calculated formation energy, the calculation gives 0.560 eV/atom. For the spin magnetization, the calculation gives 0.0 Bohr magnetons per cell. The calculation puts the uncorrected energy at -0.457 Ry/atom.

POSCAR file:
```
CrCo2Au
1.0
6.450 0.000 0.000
0.000 6.450 0.000
3.225 3.225 2.624
Co Cr Au
4 2 2
Cartesian
4.521 1.613 0.656
4.838 5.154 1.968
1.929 4.838 0.656
8.063 7.746 1.968
3.225 3.225 0.000
3.225 6.450 1.312
0.000 0.000 0.000
6.450 3.225 1.312
```

Question: Number 2 is which compound?
Answer: CrCo2Au

Question: uncorrected energy of number 2 (CrCo2Au)?
Answer: -0.457 Ry/atom

Question: Which of these has the highest calculated formation energy?
Answer: CrCo2Au